1.
The following is a PBE calculation of a geometry-optimized K3AlRh structure, from Alexandria.

The structure in POSCAR format:
```
K3AlRh
1.0
5.9022 0.0000 0.0000
0.0000 5.9022 0.0000
0.0000 0.0000 5.9022
K Al Rh
3 1 1
Cartesian
0.0000 0.0000 2.9511
0.0000 2.9511 0.0000
2.9511 0.0000 0.0000
2.9511 2.9511 2.9511
0.0000 0.0000 0.0000
```

- Energy above the most stable polymorph in this dataset: 0 meV/atom
- Total energy: -0.1522 Ry/atom
- Crystal system: cubic
- Energy relative to the elements: 18.6 kcal/mol of atoms

2.
The following is a PBE calculation of a geometry-optimized KAlRh2 structure, from Alexandria.

The structure in POSCAR format:
```
KAlRh2
1.0
4.6623 0.0000 0.0000
0.0000 4.6623 0.0000
0.0000 0.0000 3.1280
K Al Rh
1 1 2
Cartesian
0.0000 0.0000 0.0000
2.3311 2.3311 0.0000
0.0000 2.3311 1.5640
2.3311 0.0000 1.5640
```

- Total energy: -0.3312 Ry/atom
- Crystal system: tetragonal
- Energy relative to the elements: 8.8 kcal/mol of atoms

3.
The following is a PBE calculation of a geometry-optimized KAlRh2 structure, from Alexandria.

The structure in POSCAR format:
```
KAlRh2
1.0
-1.4150 2.4890 5.2159
1.4150 -2.4890 5.2159
1.4150 2.4890 -5.2159
K Al Rh
1 1 2
Cartesian
0.0000 0.0000 0.0000
0.0000 2.4890 2.1639
1.4150 0.0000 2.9737
0.0000 0.0000 5.2542
```

- Total energy: -0.3388 Ry/atom
- Crystal system: orthorhombic
- Energy relative to the elements: 6.4 kcal/mol of atoms

4.
The following is a PBE calculation of a geometry-optimized KAlRh2 structure, from Alexandria.

The structure in POSCAR format:
```
KAlRh2
1.0
0.0000 3.2864 3.2864
3.2864 0.0000 3.2864
3.2864 3.2864 0.0000
K Al Rh
1 1 2
Cartesian
0.0000 0.0000 0.0000
4.9296 4.9296 4.9296
1.6432 1.6432 1.6432
3.2864 3.2864 3.2864
```

- Total energy: -0.3189 Ry/atom
- Crystal system: cubic
- Energy relative to the elements: 12.6 kcal/mol of atoms

What did the first record say?
The following is a PBE calculation of a geometry-optimized K3AlRh structure, from Alexandria.

The structure in POSCAR format:
```
K3AlRh
1.0
5.9022 0.0000 0.0000
0.0000 5.9022 0.0000
0.0000 0.0000 5.9022
K Al Rh
3 1 1
Cartesian
0.0000 0.0000 2.9511
0.0000 2.9511 0.0000
2.9511 0.0000 0.0000
2.9511 2.9511 2.9511
0.0000 0.0000 0.0000
```

- Energy above the most stable polymorph in this dataset: 0 meV/atom
- Total energy: -0.1522 Ry/atom
- Crystal system: cubic
- Energy relative to the elements: 18.6 kcal/mol of atoms

Question: Which value of total energy does entry 4 give?
Answer: -0.3189 Ry/atom

Please write out number 1 again, unchanged.
The following is a PBE calculation of a geometry-optimized K3AlRh structure, from Alexandria.

The structure in POSCAR format:
```
K3AlRh
1.0
5.9022 0.0000 0.0000
0.0000 5.9022 0.0000
0.0000 0.0000 5.9022
K Al Rh
3 1 1
Cartesian
0.0000 0.0000 2.9511
0.0000 2.9511 0.0000
2.9511 0.0000 0.0000
2.9511 2.9511 2.9511
0.0000 0.0000 0.0000
```

- Energy above the most stable polymorph in this dataset: 0 meV/atom
- Total energy: -0.1522 Ry/atom
- Crystal system: cubic
- Energy relative to the elements: 18.6 kcal/mol of atoms